Below is RbMnF3 after structural relaxation, with properties calculated at the PBE with a Hubbard U level.

Unit cell a=4.6522 b=5.9755 c=6.5673 alpha=90.00 beta=95.83 gamma=90.00
Space group P2_1/m (No. 11)
Unique sites:
Rb  0.1816  0.2500  0.3937 [2 per cell]
Mn  0.4133  0.7500  0.0823 [2 per cell]
F  0.2726  0.5078  0.8602 [4 per cell]
F  0.2799  0.7500  0.3653 [2 per cell]

## Properties
Total energy: -0.2010 hartree per atom